Entry 1:
DFT (PBE) results for a relaxed structure of HoSc2Pa.

The structure in POSCAR format:
```
HoSc2Pa
1.0
3.322 0.000 0.000
-1.661 2.877 0.000
0.000 0.000 32.467
Ho Sc Pa
3 6 3
Direct
0.000 0.000 0.000
0.333 0.667 0.667
0.667 0.333 0.333
0.000 0.000 0.246
0.000 0.000 0.754
0.333 0.667 0.421
0.333 0.667 0.913
0.667 0.333 0.087
0.667 0.333 0.579
0.000 0.000 0.500
0.333 0.667 0.167
0.667 0.333 0.833
```

Values from the calculation:
Crystal system   trigonal
Total magnetization   0.00 μB per atom
Energy of formation   79.9 meV per atom
Excess energy over the best structure of this formula in the dataset   10.3 meV/atom

***

Entry 2:
DFT (PBE) results for a relaxed structure of Ho2ScPa.

The structure in POSCAR format:
```
Ho2ScPa
1.0
3.361 0.000 0.000
-1.681 2.911 0.000
0.000 0.000 33.576
Ho Sc Pa
6 3 3
Direct
0.000 0.000 0.000
0.000 0.000 0.167
0.333 0.667 0.667
0.333 0.667 0.834
0.667 0.333 0.333
0.667 0.333 0.500
0.000 0.000 0.584
0.333 0.667 0.251
0.667 0.333 0.917
0.000 0.000 0.750
0.333 0.667 0.416
0.667 0.333 0.083
```

Values from the calculation:
Crystal system   trigonal
Total magnetization   0.00 μB per atom
Energy of formation   111.7 meV per atom
Excess energy over the best structure of this formula in the dataset   0.0 meV/atom

***

Entry 3:
DFT (PBE) results for a relaxed structure of HoScPa.

The structure in POSCAR format:
```
HoScPa
1.0
3.301 0.000 0.000
0.000 3.301 0.000
0.000 0.000 14.661
Ho Sc Pa
2 2 2
Direct
0.000 0.000 0.000
0.500 0.500 0.500
0.000 0.000 0.321
0.500 0.500 0.821
0.000 0.000 0.666
0.500 0.500 0.166
```

Values from the calculation:
Crystal system   tetragonal
Total magnetization   0.05 μB per atom
Energy of formation   130.8 meV per atom
Excess energy over the best structure of this formula in the dataset   39.3 meV/atom